No. 1
The following is a PBE calculation of a relaxed RbScSe2 crystal, from Alexandria.

Cell and atoms, written as POSCAR:
```
RbScSe2
1.0
4.538 -5.627 0.000
4.538 5.627 0.000
-3.582 0.000 5.829
Rb Sc Se
2 2 4
Direct
0.133 0.867 0.750
0.867 0.133 0.250
0.480 0.520 0.250
0.520 0.480 0.750
0.200 0.419 0.842
0.419 0.200 0.342
0.581 0.800 0.658
0.800 0.581 0.158
```

Values from the calculation:
E in eV/atom: -5.06
Calculated density in g cm⁻³: 3.216

=====

No. 2
The following is a PBE calculation of a relaxed Sr3HfP crystal, from Alexandria.

Cell and atoms, written as POSCAR:
```
Sr3HfP
1.0
5.859 0.000 0.000
0.000 5.859 0.000
0.000 0.000 5.859
Sr Hf P
3 1 1
Direct
0.000 0.000 0.500
0.000 0.500 0.000
0.500 0.000 0.000
0.500 0.500 0.500
0.000 0.000 0.000
```

Values from the calculation:
Offset from the most stable computed form in eV/atom: 0.000
Calculated density in g cm⁻³: 3.900
ΔE_f in eV per atom: 0.209

=====

| no. | magnetization (μB per cell) | Fermi-level density of states (states/eV/cell) |
| --- | --- | --- |
| 1 | 0.000 | 0.00 |
| 2 | 4.728 | 9.26 |